(1)
A relaxed Tl4Se2S crystal. Source: Alexandria via LeMat-Bulk, functional PBE-GGA.

Lattice parameters (Å, degrees): 4.3525 7.8388 13.6958 90.00 90.00 106.12
Closest atoms and distances in Å follow each position.
Element x y z (fractional)
Tl 0.5000 0.0000 0.0000  4 Se 3.29, 2 S 3.53
Tl 0.7851 0.5703 0.3738  3 Se 3.08, 1 Tl 3.39
Tl 0.2149 0.4297 0.8738  3 Se 3.08, 1 Tl 3.39
Tl 0.2149 0.4297 0.6262  3 Se 3.08, 1 Tl 3.39
Tl 0.9571 0.9143 0.7500  2 S 2.65, 2 Se 2.73
Tl 0.7851 0.5703 0.1262  3 Se 3.08, 1 Tl 3.39
Tl 0.0429 0.0857 0.2500  2 S 2.65, 2 Se 2.73
Tl 0.5000 0.0000 0.5000  4 Se 3.29, 2 S 3.53
S 0.4424 0.8848 0.2500  2 Tl 2.65
S 0.5576 0.1152 0.7500  2 Tl 2.65
Se 0.8551 0.7102 0.9150  1 Tl 2.73
Se 0.1449 0.2898 0.0850  1 Tl 2.73
Se 0.8551 0.7102 0.5850  1 Tl 2.73
Se 0.1449 0.2898 0.4150  1 Tl 2.73

Properties
M_tot, μB per atom: 0.000
Calculated volume, A^3/atom: 32.07
Formation energy without anion corrections, meV per atom: -291
N(E_F), states/eV/cell: 2.05
Final energy, eV per atom: -3.229

---

(2)
A relaxed ScCo2Ru2 crystal. Source: Alexandria via LeMat-Bulk, functional PBE-GGA.

Lattice parameters (Å, degrees): 3.7857 3.7857 5.8073 70.98 70.98 90.00
Closest atoms and distances in Å follow each position.
Element x y z (fractional)
Ru 0.7500 0.2500 0.5000  4 Co 2.43, 4 Ru 2.68
Ru 0.2500 0.7500 0.5000  4 Co 2.43, 4 Ru 2.68
Sc 0.0000 0.0000 0.0000  8 Co 2.88, 8 Ru 3.20
Co 0.6022 0.6022 0.7955  1 Co 2.11
Co 0.3978 0.3978 0.2045  1 Co 2.11

Properties
M_tot, μB per atom: 0.002
Calculated formation energy, kcal/mol of atoms: 0.96
Calculated volume, A^3/atom: 14.77
N(E_F), states/eV/cell: 7.90
Final energy, eV per atom: -7.778

---

(3)
A relaxed SmYHo crystal. Source: Alexandria via LeMat-Bulk, functional PBE-GGA.

Lattice parameters (Å, degrees): 5.8957 5.9391 6.3051 90.15 117.87 90.00
Closest atoms and distances in Å follow each position.
Element x y z (fractional)
Sm 0.2485 0.2254 0.4971  5 Ho 3.43-3.69, 5 Y 3.46-3.70
Sm 0.7515 0.7746 0.5029  5 Ho 3.43-3.69, 5 Y 3.46-3.70
Y 0.4197 0.7401 0.8394  2 Y 3.37-3.56, 3 Ho 3.46-3.77, 5 Sm 3.46-3.70
Y 0.5803 0.2599 0.1606  2 Y 3.37-3.56, 3 Ho 3.46-3.77, 5 Sm 3.46-3.70
Ho 0.0818 0.7388 0.1637  2 Ho 3.37-3.60, 5 Sm 3.43-3.69, 3 Y 3.46-3.77
Ho 0.9182 0.2612 0.8363  2 Ho 3.37-3.60, 5 Sm 3.43-3.69, 3 Y 3.46-3.77

Properties
M_tot, μB per atom: 0.000
Calculated formation energy, kcal/mol of atoms: 2.72
Calculated volume, A^3/atom: 32.53
N(E_F), states/eV/cell: 13.45
Final energy, eV per atom: -5.136

---

(4)
A relaxed Ac3Ga2Pb2 crystal. Source: Alexandria via LeMat-Bulk, functional PBE-GGA.

Lattice parameters (Å, degrees): 4.6372 6.5988 8.9392 114.67 90.00 110.57
Closest atoms and distances in Å follow each position.
Element x y z (fractional)
Ac 0.6753 0.3505 0.6440  3 Ga 3.30-3.46, 5 Pb 3.41-3.64
Ac 0.5000 0.0000 0.0000  2 Ga 3.34, 4 Pb 3.52
Ac 0.3247 0.6495 0.3560  3 Ga 3.30-3.46, 5 Pb 3.41-3.64
Pb 0.9631 0.9263 0.6847  1 Ga 2.84
Pb 0.0369 0.0737 0.3153  1 Ga 2.84
Ga 0.7904 0.5808 0.0750  2 Ga 2.64, 1 Pb 2.84
Ga 0.2096 0.4192 0.9250  2 Ga 2.64, 1 Pb 2.84

Properties
M_tot, μB per atom: 0.000
Calculated formation energy, kcal/mol of atoms: -12.59
Calculated volume, A^3/atom: 32.75
N(E_F), states/eV/cell: 5.23
Final energy, eV per atom: -4.231

---

(5)
A relaxed SrIn2NiAu crystal. Source: Alexandria via LeMat-Bulk, functional PBE-GGA.

Lattice parameters (Å, degrees): 4.9008 4.9008 5.1862 90.00 90.00 90.00
Closest atoms and distances in Å follow each position.
Element x y z (fractional)
In 0.5000 0.0000 0.0000  2 Ni 2.45
In 0.0000 0.5000 0.0000  2 Ni 2.45
Au 0.0000 0.0000 0.5000  2 Ni 2.59
Ni 0.0000 0.0000 0.0000  4 In 2.45, 2 Au 2.59
Sr 0.5000 0.5000 0.5000  4 Au 3.47, 8 In 3.57

Properties
M_tot, μB per atom: 0.000
Calculated formation energy, kcal/mol of atoms: -6.36
Calculated volume, A^3/atom: 24.91
N(E_F), states/eV/cell: 2.49
Final energy, eV per atom: -3.519

---

(6)
A relaxed BaCoSi2B crystal. Source: Alexandria via LeMat-Bulk, functional PBE-GGA.

Lattice parameters (Å, degrees): 4.1459 5.5436 4.1459 90.00 90.00 90.00
Closest atoms and distances in Å follow each position.
Element x y z (fractional)
Si 0.5000 0.0000 0.0000  2 B 2.07
Si 0.0000 0.0000 0.5000  2 B 2.07
Ba 0.0000 0.5000 0.0000  2 B 2.77, 4 Co 2.93
B 0.0000 0.0000 0.0000  4 Si 2.07
Co 0.5000 0.5000 0.5000  4 Ba 2.93

Properties
M_tot, μB per atom: 0.206
Calculated volume, A^3/atom: 19.06
Formation energy without anion corrections, meV per atom: 908
N(E_F), states/eV/cell: 4.90
Final energy, eV per atom: -4.402

---

(7)
A relaxed PaB6Rh12 crystal. Source: Alexandria via LeMat-Bulk, functional PBE-GGA.

Lattice parameters (Å, degrees): 6.4911 6.4911 6.4911 104.60 104.60 104.60
Closest atoms and distances in Å follow each position.
Element x y z (fractional)
Rh 0.4430 0.4430 0.1837  3 B 2.26-2.35
Rh 0.5000 0.1338 0.8662  4 B 2.20-2.22
Rh 0.1338 0.5000 0.8662  4 B 2.20-2.22
Rh 0.4430 0.1837 0.4430  3 B 2.26-2.35
Rh 0.8662 0.1338 0.5000  4 B 2.20-2.22
Rh 0.5000 0.8662 0.1338  4 B 2.20-2.22
Rh 0.1837 0.4430 0.4430  3 B 2.26-2.35
Rh 0.5569 0.5569 0.8163  3 B 2.26-2.35
Rh 0.1338 0.8662 0.5000  4 B 2.20-2.22
Rh 0.8662 0.5000 0.1338  4 B 2.20-2.22
Rh 0.5569 0.8163 0.5569  3 B 2.26-2.35
Rh 0.8163 0.5569 0.5569  3 B 2.26-2.35
B 0.7671 0.3318 0.7671  7 Rh 2.20-2.35
B 0.3318 0.7671 0.7671  7 Rh 2.20-2.35
B 0.2329 0.6682 0.2329  7 Rh 2.20-2.35
B 0.6682 0.2329 0.2329  7 Rh 2.20-2.35
B 0.2329 0.2329 0.6682  7 Rh 2.20-2.35
B 0.7671 0.7671 0.3318  7 Rh 2.20-2.35
Pa 0.0000 0.0000 0.0000  18 Rh 3.22-3.52, 6 B 3.37

Properties
M_tot, μB per atom: 0.000
Calculated formation energy, kcal/mol of atoms: -8.08
Calculated volume, A^3/atom: 12.69
N(E_F), states/eV/cell: 14.39
Final energy, eV per atom: -7.602

---

(8)
A relaxed TbLu3Cu crystal. Source: Alexandria via LeMat-Bulk, functional PBE-GGA.

Lattice parameters (Å, degrees): 5.2602 5.2602 5.2602 90.00 90.00 90.00
Closest atoms and distances in Å follow each position.
Element x y z (fractional)
Lu 0.0000 0.0000 0.5000  2 Cu 2.63
Lu 0.5000 0.0000 0.0000  2 Cu 2.63
Lu 0.0000 0.5000 0.0000  2 Cu 2.63
Cu 0.0000 0.0000 0.0000  6 Lu 2.63
Tb 0.5000 0.5000 0.5000  12 Lu 3.72

Properties
M_tot, μB per atom: 0.000
Calculated formation energy, kcal/mol of atoms: 2.16
Calculated volume, A^3/atom: 29.11
N(E_F), states/eV/cell: 5.81
Final energy, eV per atom: -4.364

---

(9)
A relaxed La2MoPt crystal. Source: Alexandria via LeMat-Bulk, functional PBE-GGA.

Lattice parameters (Å, degrees): 3.7151 3.7207 8.0119 62.28 90.00 90.00
Closest atoms and distances in Å follow each position.
Element x y z (fractional)
Pt 0.5000 0.7500 0.7500  8 La 3.15
La 0.0000 0.0056 0.9944  4 Pt 3.15, 4 Mo 3.19, 1 La 3.47
La 0.0000 0.4944 0.5056  4 Pt 3.15, 4 Mo 3.19, 1 La 3.47
Mo 0.5000 0.2500 0.2500  8 La 3.19, 2 Pt 3.55

Properties
M_tot, μB per atom: 0.358
Calculated formation energy, kcal/mol of atoms: -3.31
Calculated volume, A^3/atom: 24.51
N(E_F), states/eV/cell: 4.81
Final energy, eV per atom: -6.825

---

(10)
A relaxed Y3Ir crystal. Source: Alexandria via LeMat-Bulk, functional PBE-GGA.

Lattice parameters (Å, degrees): 6.7113 6.7113 10.1302 90.00 90.00 60.00
Closest atoms and distances in Å follow each position.
Element x y z (fractional)
Y 0.8458 0.8458 0.7500  4 Ir 3.10-3.36, 6 Y 3.11-3.24
Y 0.1542 0.6916 0.2500  4 Ir 3.10-3.36, 6 Y 3.11-3.24
Y 0.5000 0.0000 0.5000  4 Ir 3.19-3.36, 8 Y 3.24-3.36
Y 0.1542 0.1542 0.2500  4 Ir 3.10-3.36, 6 Y 3.11-3.24
Y 0.3084 0.8458 0.7500  4 Ir 3.10-3.36, 6 Y 3.11-3.24
Y 0.0000 0.5000 0.0000  4 Ir 3.19-3.36, 8 Y 3.24-3.36
Y 0.0000 0.5000 0.5000  4 Ir 3.19-3.36, 8 Y 3.24-3.36
Y 0.5000 0.0000 0.0000  4 Ir 3.19-3.36, 8 Y 3.24-3.36
Y 0.5000 0.5000 0.5000  4 Ir 3.19-3.36, 8 Y 3.24-3.36
Y 0.5000 0.5000 0.0000  4 Ir 3.19-3.36, 8 Y 3.24-3.36
Y 0.6916 0.1542 0.2500  4 Ir 3.10-3.36, 6 Y 3.11-3.24
Y 0.8458 0.3084 0.7500  4 Ir 3.10-3.36, 6 Y 3.11-3.24
Ir 0.0000 0.0000 0.0000  12 Y 3.10-3.36
Ir 0.3333 0.3333 0.7500  12 Y 3.19-3.36
Ir 0.6667 0.6667 0.2500  12 Y 3.19-3.36
Ir 0.0000 0.0000 0.5000  12 Y 3.10-3.36

Properties
M_tot, μB per atom: 0.000
Calculated formation energy, kcal/mol of atoms: -4.25
Calculated volume, A^3/atom: 24.70
N(E_F), states/eV/cell: 23.70
Final energy, eV per atom: -7.248